Record 1
Zr4TaAl2 after structural relaxation, computed with GGA-PBE.

* final energy: -97.0 eV for the cell shown

POSCAR file:
```
Zr4TaAl2
1.0
5.127 0.000 0.000
0.000 5.127 0.000
0.000 0.000 13.622
Zr Ta Al
8 2 4
direct
0.000 0.000 0.190
0.000 0.000 0.810
0.000 0.500 0.000
0.000 0.500 0.500
0.500 0.000 0.000
0.500 0.000 0.500
0.500 0.500 0.310
0.500 0.500 0.690
0.000 0.000 0.000
0.500 0.500 0.500
0.000 0.000 0.393
0.000 0.000 0.607
0.500 0.500 0.107
0.500 0.500 0.893
```

=====

Record 2
HoSc2Cd2 after structural relaxation, computed with GGA-PBE.

* relative energy among the computed polymorphs: 0.000 eV/atom

POSCAR file:
```
HoSc2Cd2
1.0
3.557 0.000 0.000
0.000 5.140 0.000
-1.779 0.000 13.205
Ho Sc Cd
2 4 4
direct
0.151 0.250 0.301
0.849 0.750 0.699
0.047 0.750 0.093
0.237 0.750 0.475
0.763 0.250 0.525
0.953 0.250 0.907
0.358 0.250 0.717
0.453 0.750 0.905
0.547 0.250 0.095
0.642 0.750 0.283
```

=====

Record 3
Tl2CoP after structural relaxation, computed with GGA-PBE.

* relative energy among the computed polymorphs: 0.105 eV/atom

POSCAR file:
```
Tl2CoP
1.0
9.823 0.000 0.000
0.000 3.257 0.000
-2.610 0.000 5.464
Tl Co P
4 2 2
direct
0.000 0.000 0.000
0.166 0.000 0.631
0.500 0.500 0.000
0.666 0.500 0.631
0.409 0.000 0.543
0.909 0.500 0.543
0.333 0.500 0.293
0.833 0.000 0.293
```

=====

What did the third record say?
Tl2CoP after structural relaxation, computed with GGA-PBE.

* relative energy among the computed polymorphs: 0.105 eV/atom

POSCAR file:
```
Tl2CoP
1.0
9.823 0.000 0.000
0.000 3.257 0.000
-2.610 0.000 5.464
Tl Co P
4 2 2
direct
0.000 0.000 0.000
0.166 0.000 0.631
0.500 0.500 0.000
0.666 0.500 0.631
0.409 0.000 0.543
0.909 0.500 0.543
0.333 0.500 0.293
0.833 0.000 0.293
```